# 1
## Ba2YBr (PBE)

Data for a geometry-optimized Ba2YBr structure.

The total DFT energy (no corrections) is -3.077 eV per atom.

It has space group I4/mmm (No. 139), with a = 5.5989 Å, b = 5.5989 Å, c = 11.0621 Å, α = 90.00°, β = 90.00° and γ = 90.00°. The inequivalent atoms are Ba at (0.0000, 0.5000, 0.2500), Y at (0.0000, 0.0000, 0.0000) and Br at (0.0000, 0.0000, 0.5000).

---

# 2
## BaY2Br (PBE)

Data for a geometry-optimized BaY2Br structure.

The total DFT energy (no corrections) is -4.394 eV per atom.

It has space group C2/m (No. 12), with a = 6.7434 Å, b = 14.0313 Å, c = 3.8286 Å, α = 90.00°, β = 124.29° and γ = 90.00°. The inequivalent atoms are Ba at (0.0000, 0.0000, 0.0000), Y at (0.2500, 0.2500, 0.5000) and Br at (0.0000, 0.5000, 0.0000).

---

# 3
## BaY2Br (PBE)

Data for a geometry-optimized BaY2Br structure.

The total DFT energy (no corrections) is -4.677 eV per atom.

It has space group R3m (No. 160, hexagonal axes), with a = 3.8601 Å, b = 3.8601 Å, c = 32.6295 Å, α = 90.00°, β = 90.00° and γ = 120.00°. The inequivalent atoms are Ba at (0.0000, 0.0000, 0.0000), Y at (0.0000, 0.0000, 0.2305), Y at (0.0000, 0.0000, 0.4815) and Br at (0.0000, 0.0000, 0.7493).

---

# 4
## Ba2YBr (PBE)

Data for a geometry-optimized Ba2YBr structure.

The total DFT energy (no corrections) is -2.960 eV per atom.

It has space group F-43m (No. 216), with a = 8.7916 Å, b = 8.7916 Å, c = 8.7916 Å, α = 90.00°, β = 90.00° and γ = 90.00°. The inequivalent atoms are Ba at (0.0000, 0.0000, 0.0000), Ba at (0.2500, 0.2500, 0.2500), Y at (0.0000, 0.0000, 0.5000) and Br at (0.2500, 0.2500, 0.7500).

---

# 5
## Ba2YBr (PBE)

Data for a geometry-optimized Ba2YBr structure.

The total DFT energy (no corrections) is -3.267 eV per atom.

It has space group I-42d (No. 122), with a = 9.8526 Å, b = 9.8526 Å, c = 7.5914 Å, α = 90.00°, β = 90.00° and γ = 90.00°. The inequivalent atoms are Ba at (0.1863, 0.2500, 0.1250), Y at (0.0000, 0.0000, 0.5000) and Br at (0.0000, 0.0000, 0.0000).

---

# 6
## Ba2YBr (PBE)

Data for a geometry-optimized Ba2YBr structure.

The total DFT energy (no corrections) is -3.378 eV per atom.

It has space group Cmmm (No. 65), with a = 9.2234 Å, b = 9.2589 Å, c = 3.9431 Å, α = 90.00°, β = 90.00° and γ = 90.00°. The inequivalent atoms are Ba at (0.2500, 0.2500, 0.0000), Y at (0.0000, 0.0000, 0.5000) and Br at (0.0000, 0.5000, 0.5000).